Entry i
Here is a relaxed structure of CoIr3Rh from Alexandria. Energies are from PBE-GGA.

Summary:
Volume ... 17.1 Å³ per atom
Calculated density ... 14.357 g/cm³

Unit cell a=4.4040 b=4.4040 c=4.4040 alpha=90.00 beta=90.00 gamma=90.00
With the nearest neighbours (Å) after each atom.
Space group Pm-3m (No. 221)
Inequivalent atoms, fractional coordinates:
Co  0.0000  0.0000  0.0000 [1 per cell]  6 Ir 2.20
Ir  0.0000  0.0000  0.5000 [3 per cell]  2 Co 2.20
Rh  0.5000  0.5000  0.5000 [1 per cell]  12 Ir 3.11

***

Entry ii
Here is a relaxed structure of CoIr3Rh from Alexandria. Energies are from PBE-GGA.

Summary:
Volume ... 23.5 Å³ per atom
Calculated density ... 10.449 g/cm³

Unit cell a=7.4440 b=7.4440 c=4.8911 alpha=90.00 beta=90.00 gamma=120.00
With the nearest neighbours (Å) after each atom.
Space group P6/mmm (No. 191)
Inequivalent atoms, fractional coordinates:
Co  0.3333  0.6667  0.0000 [2 per cell]  6 Ir 2.48
Ir  0.0000  0.3327  0.0000 [6 per cell]  3 Ir 2.48-2.49, 2 Co 2.48
Rh  0.0000  0.0000  0.2599 [2 per cell]  2 Rh 2.35-2.54

***

If you had to bet on the most stable structure above, which would it be? Bet on entry ii.